TlIrF6: optimized geometry, GGA-PBE. Values from VASP.

Calculated values
- relative energy among the computed polymorphs (eV per formula unit) = 0.00
- E (eV per formula unit) = -35.04

Structure (Quantum ESPRESSO input):
```
&SYSTEM
  ibrav = 0, nat = 8, ntyp = 3
/
ATOMIC_SPECIES
F 19.00 F.upf
Tl 204.38 Tl.upf
Ir 192.22 Ir.upf
CELL_PARAMETERS angstrom
2.6019 1.5022 4.8478
-2.6019 1.5022 4.8478
0.0000 -3.0044 4.8478
ATOMIC_POSITIONS angstrom
F 0.0000 1.4619 10.8107
F 0.0000 -1.4619 3.7328
Tl 0.0000 0.0000 7.2718
F 1.2660 -0.7309 10.8107
F 1.2660 0.7309 3.7328
Ir 0.0000 0.0000 0.0000
F -1.2660 -0.7309 10.8107
F -1.2660 0.7309 3.7328
```

LiCuTcS3: optimized geometry, GGA-PBE. Values from VASP.

Calculated values
- relative energy among the computed polymorphs (eV per formula unit) = 0.00
- E (eV per formula unit) = -31.29

Structure (Quantum ESPRESSO input):
```
&SYSTEM
  ibrav = 0, nat = 12, ntyp = 4
/
ATOMIC_SPECIES
Tc 98.00 Tc.upf
S 32.06 S.upf
Cu 63.55 Cu.upf
Li 6.94 Li.upf
CELL_PARAMETERS angstrom
6.8935 0.0000 0.0000
0.0000 3.4406 0.0000
-1.8256 0.0000 8.2896
ATOMIC_POSITIONS angstrom
Tc 4.3694 0.8602 1.4702
S 0.8809 2.5805 4.4154
Cu 5.6790 2.5805 3.2591
Cu -0.6111 0.8602 5.0306
Li 1.4224 0.8602 2.4568
S 2.7219 2.5805 1.0349
Li 3.6455 2.5805 5.8329
S 6.0123 2.5805 1.0886
S 4.1869 0.8602 3.8743
S 2.3460 0.8602 7.2547
Tc 0.6985 2.5805 6.8194
S -0.9444 0.8602 7.2011
```

NaNdH2S2O9: optimized geometry, GGA-PBE. Values from VASP.

Calculated values
- E (eV per formula unit) = -93.41

Structure (Quantum ESPRESSO input):
```
&SYSTEM
  ibrav = 0, nat = 45, ntyp = 5
/
ATOMIC_SPECIES
O 16.00 O.upf
H 1.01 H.upf
Na 22.99 Na.upf
Nd 144.24 Nd.upf
S 32.06 S.upf
CELL_PARAMETERS angstrom
6.9077 0.0000 0.0000
-3.4539 5.9822 0.0000
0.0000 0.0000 12.7067
ATOMIC_POSITIONS angstrom
O -1.3096 3.8457 4.3210
H 2.9738 5.6688 2.6457
O 3.1918 3.5835 2.4531
O 2.2112 0.7992 0.1360
O -0.2789 0.4831 2.1178
O -0.4135 2.3145 12.5708
O 4.3326 2.9341 6.2108
O 3.1749 5.4992 6.3534
Na 1.8404 3.1876 0.0000
O 2.2084 0.9724 6.6887
O 0.7781 2.9252 8.5566
O 1.6562 4.4669 4.0996
O 2.1443 2.1365 4.1502
Na -1.6135 2.7946 8.4712
Nd -1.5038 2.6047 2.1178
S 3.0750 0.0547 7.4661
O 3.9853 0.7887 8.3858
H 0.5115 0.2590 1.5899
H 3.4224 5.4098 10.0610
S 5.3228 2.6357 11.7017
S 1.9637 3.2919 3.2305
O -1.2535 3.6972 10.7316
Nd 1.9500 3.3776 6.3534
O 0.5314 5.1935 0.0854
O 3.0403 3.6677 8.6071
O -1.2454 5.0099 1.7825
O 0.5578 0.0000 10.5889
O 3.8286 0.7631 1.9752
O -0.2621 2.3988 6.0181
S 1.8690 3.3465 9.4762
H -2.9424 5.7232 6.8813
S -0.3788 5.9276 1.0051
O 5.1100 1.5154 4.3715
O 2.2004 2.2850 10.4463
Nd 3.0076 0.0000 10.5889
O 0.3748 5.2192 6.4960
H 6.4276 0.3135 5.8255
O 4.2320 3.0570 12.6214
O -1.2426 5.1831 8.3352
O 1.5075 4.5559 10.2537
S -1.4902 2.6904 5.2406
Na 3.2270 0.0000 4.2356
O 4.9614 1.4264 10.9243
H -0.0314 0.5725 11.1169
O 0.8787 3.0481 2.2604
```

AlInFe2: optimized geometry, GGA-PBE. Values from VASP.

Calculated values
- E (eV per formula unit) = -22.75

Structure (Quantum ESPRESSO input):
```
&SYSTEM
  ibrav = 0, nat = 16, ntyp = 3
/
ATOMIC_SPECIES
Fe 55.84 Fe.upf
In 114.82 In.upf
Al 26.98 Al.upf
CELL_PARAMETERS angstrom
-2.2907 0.7873 -5.4994
-5.3524 -1.9064 1.9565
-1.4883 5.6441 1.4279
ATOMIC_POSITIONS angstrom
Fe -2.9318 4.0579 0.2621
Fe -4.9833 0.0491 0.5428
In -3.4203 1.8689 1.6922
Fe -2.1416 1.0612 -0.4960
Al -0.7442 2.8221 0.7140
Al -2.6762 -0.9532 0.9783
Fe -6.9897 3.4637 -1.6189
Fe -6.1995 0.4671 -2.3771
Fe -4.1480 4.4759 -2.6577
In -4.5657 2.2625 -1.0575
Fe -3.3578 1.4792 -3.4158
Al -1.1453 0.3936 -2.7497
Al 0.0000 0.0000 0.0000
In -3.8215 -0.5596 -1.7714
Fe -5.7736 3.0457 1.3009
In -1.8895 3.2157 -2.0357
```

Fe3Te5Au: optimized geometry, GGA-PBE. Values from VASP.

Calculated values
- E (eV per formula unit) = -42.49

Structure (Quantum ESPRESSO input):
```
&SYSTEM
  ibrav = 0, nat = 9, ntyp = 3
/
ATOMIC_SPECIES
Te 127.60 Te.upf
Au 196.97 Au.upf
Fe 55.84 Fe.upf
CELL_PARAMETERS angstrom
5.5410 0.0000 0.0000
-2.7705 4.7987 0.0000
0.0000 0.0000 7.7645
ATOMIC_POSITIONS angstrom
Te 2.7705 1.5996 1.8202
Te 0.0000 3.1991 5.9443
Te 2.7705 1.5996 5.9443
Au 0.0000 0.0000 0.0000
Fe -1.3853 2.3993 3.8823
Fe 2.7705 0.0000 3.8823
Fe 1.3853 2.3993 3.8823
Te 0.0000 0.0000 3.8823
Te 0.0000 3.1991 1.8202
```

AlHgPb: optimized geometry, GGA-PBE. Values from VASP.

Calculated values
- E (eV per formula unit) = -6.70

Structure (Quantum ESPRESSO input):
```
&SYSTEM
  ibrav = 0, nat = 3, ntyp = 3
/
ATOMIC_SPECIES
Pb 207.20 Pb.upf
Al 26.98 Al.upf
Hg 200.59 Hg.upf
CELL_PARAMETERS angstrom
-1.7072 -2.8470 -3.7202
-4.8712 -0.0573 -1.0619
-1.6615 2.1158 -4.1979
ATOMIC_POSITIONS angstrom
Pb 0.0000 0.0000 0.0000
Al -2.0600 -0.1971 -2.2450
Hg -6.1799 -0.5913 -6.7350
```

PrDyPO: optimized geometry, GGA-PBE. Values from VASP.

Calculated values
- relative energy among the computed polymorphs (eV per formula unit) = 0.18
- E (eV per formula unit) = -27.54

Structure (Quantum ESPRESSO input):
```
&SYSTEM
  ibrav = 0, nat = 8, ntyp = 4
/
ATOMIC_SPECIES
Pr 140.91 Pr.upf
Dy 162.50 Dy.upf
O 16.00 O.upf
P 30.97 P.upf
CELL_PARAMETERS angstrom
-3.0072 -1.9126 -2.2663
5.2434 -5.0101 -2.7296
-1.0337 -3.3860 4.2293
ATOMIC_POSITIONS angstrom
Pr 2.0633 -8.4991 0.4993
Dy 3.2334 -5.0073 -0.0648
O -1.5239 -5.0122 2.3167
O 2.3505 -6.5274 -1.5458
Dy 0.5866 -4.6651 3.1586
P 1.4105 -3.2654 0.8841
P 2.4095 -6.4069 2.2096
Pr -1.2648 -3.1322 0.3862
```

LiYNbCo: optimized geometry, GGA-PBE. Values from VASP.

Calculated values
- relative energy among the computed polymorphs (eV per formula unit) = 0.00
- E (eV per formula unit) = -24.69

Structure (Quantum ESPRESSO input):
```
&SYSTEM
  ibrav = 0, nat = 4, ntyp = 4
/
ATOMIC_SPECIES
Co 58.93 Co.upf
Y 88.91 Y.upf
Li 6.94 Li.upf
Nb 92.91 Nb.upf
CELL_PARAMETERS angstrom
2.0435 -0.2524 4.1119
0.1723 3.7087 2.7135
-2.5283 0.1605 3.8379
ATOMIC_POSITIONS angstrom
Co -0.0781 0.9042 2.6658
Y 0.0000 0.0000 0.0000
Li -0.2343 2.7127 7.9974
Nb -0.1562 1.8084 5.3316
```

NaHoHgSe3: optimized geometry, GGA-PBE. Values from VASP.

Calculated values
- relative energy among the computed polymorphs (eV per formula unit) = 0.09
- E (eV per formula unit) = -23.19

Structure (Quantum ESPRESSO input):
```
&SYSTEM
  ibrav = 0, nat = 24, ntyp = 4
/
ATOMIC_SPECIES
Ho 164.93 Ho.upf
Se 78.96 Se.upf
Na 22.99 Na.upf
Hg 200.59 Hg.upf
CELL_PARAMETERS angstrom
-3.1670 8.5366 -9.1216
1.8804 -2.3402 -2.8430
-10.4741 -6.0059 -1.9841
ATOMIC_POSITIONS angstrom
Ho -10.2770 1.3482 -12.4170
Se -2.0402 2.0702 -7.5633
Se -7.3851 0.8519 -7.0892
Se -9.8857 -0.6407 -10.5210
Na -5.2453 -2.5263 -2.8931
Se -2.3234 5.6916 -10.7315
Na -6.5154 2.7168 -11.0556
Hg -2.4997 -1.2297 -5.1509
Se -9.4373 -5.5011 -3.2171
Hg -3.1935 3.5488 -9.5432
Ho -7.0290 -1.9656 -7.5409
Se -1.8750 0.8312 -3.4276
Hg -9.2610 1.4201 -8.7977
Se -9.7205 -1.8797 -6.3854
Hg -8.5672 -3.3583 -4.4054
Na -11.9266 -1.1811 -8.4195
Na 0.1659 1.3716 -5.5291
Se -6.0661 -3.6268 -5.5367
Se -2.3437 -3.2802 -3.3599
Ho -4.7317 2.1561 -6.4077
Ho -1.4837 -1.1578 -1.5316
Se -5.6946 3.8173 -8.4119
Se -9.4170 3.4706 -10.5887
Se -4.3756 -0.6614 -6.8594
```

Gd3YNi4: optimized geometry, GGA-PBE. Values from VASP.

Calculated values
- formation energy from the elements (eV per atom) = -0.4260
- E (eV per formula unit) = -46.11

Structure (Quantum ESPRESSO input):
```
&SYSTEM
  ibrav = 0, nat = 8, ntyp = 3
/
ATOMIC_SPECIES
Gd 157.25 Gd.upf
Ni 58.69 Ni.upf
Y 88.91 Y.upf
CELL_PARAMETERS angstrom
5.4257 0.0000 0.0000
0.0000 4.1902 0.0000
0.0000 0.0000 7.0555
ATOMIC_POSITIONS angstrom
Gd 0.7085 0.0000 1.2707
Gd 4.7166 2.0951 5.7865
Ni 2.0354 2.0951 6.7884
Ni 3.3905 0.0000 0.2676
Gd 2.0052 0.0000 4.7943
Y 3.4212 2.0951 2.2587
Ni 4.7478 0.0000 3.7947
Ni 0.6772 2.0951 3.2609
```

YNbCo: optimized geometry, GGA-PBE. Values from VASP.

Calculated values
- formation energy from the elements (eV per atom) = 0.8464
- E (eV per formula unit) = -21.13

Structure (Quantum ESPRESSO input):
```
&SYSTEM
  ibrav = 0, nat = 3, ntyp = 3
/
ATOMIC_SPECIES
Co 58.93 Co.upf
Nb 92.91 Nb.upf
Y 88.91 Y.upf
CELL_PARAMETERS angstrom
2.2156 1.2792 3.6181
-2.2156 1.2792 3.6181
0.0000 -2.5584 3.6181
ATOMIC_POSITIONS angstrom
Co 0.0000 0.0000 2.7136
Nb 0.0000 0.0000 0.0000
Y 0.0000 0.0000 8.1407
```

NbFeCu2: optimized geometry, GGA-PBE. Values from VASP.

Calculated values
- formation energy from the elements (eV per atom) = 0.1898
- E (eV per formula unit) = -25.08

Structure (Quantum ESPRESSO input):
```
&SYSTEM
  ibrav = 0, nat = 4, ntyp = 3
/
ATOMIC_SPECIES
Fe 55.84 Fe.upf
Nb 92.91 Nb.upf
Cu 63.55 Cu.upf
CELL_PARAMETERS angstrom
-0.3565 -2.2331 3.5390
-0.3394 -4.1821 -0.1811
3.1814 -2.4225 1.2839
ATOMIC_POSITIONS angstrom
Fe 1.2427 -4.4189 2.3209
Nb 0.6214 -2.2095 1.1605
Cu 0.0000 0.0000 0.0000
Cu 1.8641 -6.6283 3.4813
```

TlZnCoRe: optimized geometry, GGA-PBE. Values from VASP.

Calculated values
- relative energy among the computed polymorphs (eV per formula unit) = 0.00
- E (eV per formula unit) = -20.13

Structure (Quantum ESPRESSO input):
```
&SYSTEM
  ibrav = 0, nat = 4, ntyp = 4
/
ATOMIC_SPECIES
Re 186.21 Re.upf
Tl 204.38 Tl.upf
Co 58.93 Co.upf
Zn 65.41 Zn.upf
CELL_PARAMETERS angstrom
-0.6392 -4.3877 -0.0432
1.1521 -2.4431 3.5166
-3.1322 -1.8096 2.5646
ATOMIC_POSITIONS angstrom
Re -1.3096 -4.3202 3.0190
Tl 0.0000 0.0000 0.0000
Co -1.9645 -6.4803 4.5285
Zn -0.6548 -2.1601 1.5095
```

MgNiH3: optimized geometry, GGA-PBE. Values from VASP.

Calculated values
- relative energy among the computed polymorphs (eV per formula unit) = 0.08
- E (eV per formula unit) = -18.06

Structure (Quantum ESPRESSO input):
```
&SYSTEM
  ibrav = 0, nat = 5, ntyp = 3
/
ATOMIC_SPECIES
Ni 58.69 Ni.upf
Mg 24.30 Mg.upf
H 1.01 H.upf
CELL_PARAMETERS angstrom
-1.4795 -2.2338 1.9605
2.9521 -0.8507 1.2585
-0.3444 2.3041 2.3654
ATOMIC_POSITIONS angstrom
Ni 0.5641 -0.3902 2.7922
Mg 0.0000 0.0000 0.0000
H 1.3039 0.7267 1.8119
H 0.7363 -1.5423 1.6095
H -0.9119 0.0352 2.1629
```

CsTmGeTe3: optimized geometry, GGA-PBE. Values from VASP.

Calculated values
- relative energy among the computed polymorphs (eV per formula unit) = 0.00
- E (eV per formula unit) = -25.07

Structure (Quantum ESPRESSO input):
```
&SYSTEM
  ibrav = 0, nat = 24, ntyp = 4
/
ATOMIC_SPECIES
Te 127.60 Te.upf
Cs 132.91 Cs.upf
Tm 168.93 Tm.upf
Ge 72.64 Ge.upf
CELL_PARAMETERS angstrom
-16.1913 0.2796 -7.7046
1.3836 -2.7615 -3.0078
-3.5037 -9.4033 7.0217
ATOMIC_POSITIONS angstrom
Te -6.3502 -2.0730 -2.5626
Te -13.6432 -2.1583 -8.9289
Cs -4.8144 -4.6469 0.5069
Te -3.2232 -8.2278 1.4367
Tm -8.8087 -3.8598 -2.0531
Te -15.0883 -3.6574 -5.1274
Te -9.1246 -4.0545 -5.1094
Ge -16.1356 -5.7842 -6.7464
Te -1.1822 -4.6058 -0.9498
Te -11.2643 -5.5625 -1.6194
Cs -6.6451 -10.7160 2.1472
Te -9.1869 -7.8307 1.4187
Cs -13.4971 -7.2383 -4.1976
Te -7.0471 -6.3227 -2.0713
Ge -2.1759 -6.1010 3.0557
Cs -11.6664 -1.1692 -5.8378
Tm -2.1191 -10.0760 3.6416
Tm -16.1924 -1.8092 -7.3322
Te -17.1293 -7.2794 -2.7409
Ge -6.8229 -2.6577 -5.3331
Te -11.9613 -9.8122 -1.1281
Tm -9.5028 -8.0254 -1.6376
Ge -11.4886 -9.2275 1.6424
Te -4.6682 -9.7269 5.2382
```

YErMg6: optimized geometry, GGA-PBE. Values from VASP.

Calculated values
- relative energy among the computed polymorphs (eV per formula unit) = 0.00
- E (eV per formula unit) = -20.88

Structure (Quantum ESPRESSO input):
```
&SYSTEM
  ibrav = 0, nat = 8, ntyp = 3
/
ATOMIC_SPECIES
Mg 24.30 Mg.upf
Er 167.26 Er.upf
Y 88.91 Y.upf
CELL_PARAMETERS angstrom
-4.6167 2.0358 1.0743
-2.0063 -0.8705 -6.9722
-1.8143 -4.6995 1.1088
ATOMIC_POSITIONS angstrom
Mg -0.9417 -1.3695 -1.4515
Mg -5.1873 -3.1827 -3.8747
Mg -1.3547 -3.5091 0.8279
Er -2.7691 -0.1757 0.8188
Mg -1.9559 -1.8096 -4.9760
Mg -3.7705 -0.6062 -2.6685
Mg -4.1732 -2.7427 -0.3502
Y -2.3571 -3.9422 -2.6587
```

ZrBW: optimized geometry, GGA-PBE. Values from VASP.

Calculated values
- relative energy among the computed polymorphs (eV per formula unit) = 5.76
- E (eV per formula unit) = -23.67

Structure (Quantum ESPRESSO input):
```
&SYSTEM
  ibrav = 0, nat = 3, ntyp = 3
/
ATOMIC_SPECIES
B 10.81 B.upf
Zr 91.22 Zr.upf
W 183.84 W.upf
CELL_PARAMETERS angstrom
2.6946 1.2621 2.9842
-0.9597 3.2919 2.4499
-0.9277 -0.5996 4.0668
ATOMIC_POSITIONS angstrom
B 0.2018 0.9886 2.3752
Zr 0.6055 2.9657 7.1257
W 0.0000 0.0000 0.0000
```

Li2CdPd: optimized geometry, GGA-PBE. Values from VASP.

Calculated values
- E (eV per formula unit) = -11.51

Structure (Quantum ESPRESSO input):
```
&SYSTEM
  ibrav = 0, nat = 4, ntyp = 3
/
ATOMIC_SPECIES
Li 6.94 Li.upf
Pd 106.42 Pd.upf
Cd 112.41 Cd.upf
CELL_PARAMETERS angstrom
-3.7446 -1.4171 -1.9463
2.4005 -1.0712 -3.6034
1.1649 -1.7222 3.9846
ATOMIC_POSITIONS angstrom
Li 0.3955 -3.3524 -0.7795
Li -1.0523 -1.3296 0.4164
Pd -1.7223 -2.5802 -2.3557
Cd 1.0672 -2.1063 1.9954
```

YTm2Zn3Ir2Pt: optimized geometry, GGA-PBE. Values from VASP.

Calculated values
- formation energy from the elements (eV per atom) = -0.8044
- E (eV per formula unit) = -50.21

Structure (Quantum ESPRESSO input):
```
&SYSTEM
  ibrav = 0, nat = 9, ntyp = 5
/
ATOMIC_SPECIES
Zn 65.41 Zn.upf
Tm 168.93 Tm.upf
Ir 192.22 Ir.upf
Pt 195.08 Pt.upf
Y 88.91 Y.upf
CELL_PARAMETERS angstrom
3.8640 0.0000 0.0000
0.0000 6.2227 3.5689
0.0000 -6.2227 3.5689
ATOMIC_POSITIONS angstrom
Zn 1.9320 1.5833 6.2243
Tm 0.0000 2.5259 1.4487
Ir 1.9320 -2.1166 3.5593
Zn 1.9320 -1.5833 6.2243
Tm 0.0000 -2.5259 1.4487
Pt 0.0000 0.0000 0.0310
Ir 1.9320 2.1166 3.5593
Y 0.0000 0.0000 4.2224
Zn 1.9320 0.0000 1.8329
```

Cu2Ag3: optimized geometry, GGA-PBE. Values from VASP.

Calculated values
- formation energy from the elements (eV per atom) = 0.0903
- relative energy among the computed polymorphs (eV per formula unit) = 0.29
- E (eV per formula unit) = -15.46

Structure (Quantum ESPRESSO input):
```
&SYSTEM
  ibrav = 0, nat = 10, ntyp = 2
/
ATOMIC_SPECIES
Ag 107.87 Ag.upf
Cu 63.55 Cu.upf
CELL_PARAMETERS angstrom
4.6532 -1.4229 0.0000
4.6532 1.4229 0.0000
-2.0754 0.0000 11.7478
ATOMIC_POSITIONS angstrom
Ag -0.4941 0.0000 8.2703
Ag 5.1819 0.0000 2.3363
Cu 6.1835 0.0000 6.9953
Cu -1.9588 0.0000 11.6948
Cu 1.0284 0.0000 4.8167
Ag 2.0020 0.0000 9.4868
Ag 3.6095 0.0000 5.9069
Ag 7.6881 0.0000 3.5489
Ag 2.6716 0.0000 0.9814
Cu 4.5524 0.0000 10.5752
```